[1]
# HfMnFeMo GGA-PBE optimized geometry
# **N(E_F)**: 15.6 states/eV/cell
# **Calculated total energy**: -9.636 eV/atom
# **Formation enthalpy at 0 K**: -3 kJ/mol of atoms
data_HfMnFeMo
_chemical_formula_sum 'Hf4 Mn4 Fe4 Mo4'
_cell_length_a 6.131
_cell_length_b 6.131
_cell_length_c 6.131
_cell_angle_alpha 90.00
_cell_angle_beta 90.00
_cell_angle_gamma 90.00
_space_group_name_H-M_alt 'F -4 3 m'
_space_group_IT_number 216
_space_group_name_Hall 'F -4 2 3'
loop_
_atom_site_label
_atom_site_type_symbol
_atom_site_fract_x
_atom_site_fract_y
_atom_site_fract_z
_atom_site_occupancy
Hf1 Hf 0.000 0.000 0.000 1
Mn1 Mn 0.250 0.250 0.250 1
Fe1 Fe 0.250 0.250 0.750 1
Mo1 Mo 0.000 0.000 0.500 1


[2]
# Cd2Tc2Ag GGA-PBE optimized geometry
# **N(E_F)**: 8.0 states/eV/cell
# **ΔE to the lowest computed polymorph**: 125 meV/atom
# **Calculated total energy**: -4.489 eV/atom
# **Formation enthalpy at 0 K**: 57 kJ/mol of atoms
data_Cd2Tc2Ag
_chemical_formula_sum 'Cd4 Tc4 Ag2'
_cell_length_a 8.233
_cell_length_b 8.233
_cell_length_c 2.862
_cell_angle_alpha 90.00
_cell_angle_beta 90.00
_cell_angle_gamma 90.00
_space_group_name_H-M_alt 'P 4/m b m'
_space_group_IT_number 127
_space_group_name_Hall '-P 4 2ab'
loop_
_atom_site_label
_atom_site_type_symbol
_atom_site_fract_x
_atom_site_fract_y
_atom_site_fract_z
_atom_site_occupancy
Cd1 Cd 0.193 0.307 0.000 1
Tc1 Tc 0.098 0.598 0.500 1
Ag1 Ag 0.000 0.000 0.000 1


[3]
# Ta2SbP GGA-PBE optimized geometry
# **N(E_F)**: 2.8 states/eV/cell
# **Raw formation energy**: -0.158 eV/atom
# **Calculated total energy**: -8.467 eV/atom
data_Ta2SbP
_chemical_formula_sum 'Ta4 Sb2 P2'
_cell_length_a 9.403
_cell_length_b 3.358
_cell_length_c 4.758
_cell_angle_alpha 90.00
_cell_angle_beta 104.74
_cell_angle_gamma 90.00
_space_group_name_H-M_alt 'C 1 m 1'
_space_group_IT_number 8
_space_group_name_Hall 'C -2y'
loop_
_atom_site_label
_atom_site_type_symbol
_atom_site_fract_x
_atom_site_fract_y
_atom_site_fract_z
_atom_site_occupancy
Ta1 Ta 0.000 0.000 0.000 1
Ta2 Ta 0.216 0.000 0.639 1
Sb1 Sb 0.474 0.000 0.477 1
P1 P 0.218 0.500 0.078 1


[4]
# Pr14HoSc GGA-PBE optimized geometry
# **N(E_F)**: 23.8 states/eV/cell
# **Calculated total energy**: -4.842 eV/atom
# **Formation enthalpy at 0 K**: 2 kJ/mol of atoms
data_Pr14HoSc
_chemical_formula_sum 'Pr14 Ho1 Sc1'
_cell_length_a 7.347
_cell_length_b 7.347
_cell_length_c 10.398
_cell_angle_alpha 90.00
_cell_angle_beta 90.00
_cell_angle_gamma 90.00
_space_group_name_H-M_alt 'P 4/m m m'
_space_group_IT_number 123
_space_group_name_Hall '-P 4 2'
loop_
_atom_site_label
_atom_site_type_symbol
_atom_site_fract_x
_atom_site_fract_y
_atom_site_fract_z
_atom_site_occupancy
Pr1 Pr 0.000 0.000 0.000 1
Pr2 Pr 0.000 0.500 0.000 1
Pr3 Pr 0.000 0.500 0.500 1
Pr4 Pr 0.248 0.248 0.255 1
Pr5 Pr 0.500 0.500 0.000 1
Ho1 Ho 0.500 0.500 0.500 1
Sc1 Sc 0.000 0.000 0.500 1


[5]
# Li4CeIn GGA-PBE optimized geometry
# **N(E_F)**: 38.9 states/eV/cell
# **Calculated total energy**: -2.794 eV/atom
# **Formation enthalpy at 0 K**: -7 kJ/mol of atoms
data_Li4CeIn
_chemical_formula_sum 'Li16 Ce4 In4'
_cell_length_a 7.917
_cell_length_b 7.917
_cell_length_c 7.917
_cell_angle_alpha 90.00
_cell_angle_beta 90.00
_cell_angle_gamma 90.00
_space_group_name_H-M_alt 'F -4 3 m'
_space_group_IT_number 216
_space_group_name_Hall 'F -4 2 3'
loop_
_atom_site_label
_atom_site_type_symbol
_atom_site_fract_x
_atom_site_fract_y
_atom_site_fract_z
_atom_site_occupancy
Li1 Li 0.123 0.123 0.377 1
Ce1 Ce 0.000 0.000 0.000 1
In1 In 0.250 0.250 0.750 1


[6]
# Hf8Co2Ag GGA-PBE optimized geometry
# **N(E_F)**: 19.9 states/eV/cell
# **Calculated total energy**: -8.808 eV/atom
# **Formation enthalpy at 0 K**: -2 kJ/mol of atoms
data_Hf8Co2Ag
_chemical_formula_sum 'Hf16 Co4 Ag2'
_cell_length_a 13.234
_cell_length_b 6.034
_cell_length_c 5.696
_cell_angle_alpha 90.00
_cell_angle_beta 97.47
_cell_angle_gamma 90.00
_space_group_name_H-M_alt 'C 1 2/m 1'
_space_group_IT_number 12
_space_group_name_Hall '-C 2y'
loop_
_atom_site_label
_atom_site_type_symbol
_atom_site_fract_x
_atom_site_fract_y
_atom_site_fract_z
_atom_site_occupancy
Hf1 Hf 0.084 0.000 0.382 1
Hf2 Hf 0.123 0.241 0.884 1
Hf3 Hf 0.208 0.500 0.371 1
Co1 Co 0.235 0.000 0.177 1
Ag1 Ag 0.000 0.500 0.500 1


[7]
# SrLa2Au2 GGA-PBE optimized geometry
# **N(E_F)**: 6.6 states/eV/cell
# **ΔE to the lowest computed polymorph**: 226 meV/atom
# **Calculated total energy**: -4.021 eV/atom
# **Formation enthalpy at 0 K**: -39 kJ/mol of atoms
data_SrLa2Au2
_chemical_formula_sum 'Sr2 La4 Au4'
_cell_length_a 5.519
_cell_length_b 5.519
_cell_length_c 11.091
_cell_angle_alpha 90.00
_cell_angle_beta 90.00
_cell_angle_gamma 90.00
_space_group_name_H-M_alt 'I 4/m m m'
_space_group_IT_number 139
_space_group_name_Hall '-I 4 2'
loop_
_atom_site_label
_atom_site_type_symbol
_atom_site_fract_x
_atom_site_fract_y
_atom_site_fract_z
_atom_site_occupancy
Sr1 Sr 0.000 0.000 0.000 1
La1 La 0.000 0.000 0.357 1
Au1 Au 0.000 0.500 0.250 1


[8]
# Tb4Ho2ThMg GGA-PBE optimized geometry
# **N(E_F)**: 15.1 states/eV/cell
# **Calculated total energy**: -4.475 eV/atom
# **Formation enthalpy at 0 K**: 11 kJ/mol of atoms
data_Tb4Ho2ThMg
_chemical_formula_sum 'Tb4 Ho2 Th1 Mg1'
_cell_length_a 5.832
_cell_length_b 5.832
_cell_length_c 7.267
_cell_angle_alpha 90.00
_cell_angle_beta 90.00
_cell_angle_gamma 90.00
_space_group_name_H-M_alt 'P 4/m m m'
_space_group_IT_number 123
_space_group_name_Hall '-P 4 2'
loop_
_atom_site_label
_atom_site_type_symbol
_atom_site_fract_x
_atom_site_fract_y
_atom_site_fract_z
_atom_site_occupancy
Tb1 Tb 0.000 0.500 0.243 1
Ho1 Ho 0.000 0.000 0.500 1
Ho2 Ho 0.500 0.500 0.500 1
Th1 Th 0.000 0.000 0.000 1
Mg1 Mg 0.500 0.500 0.000 1